Computed, not measured: YPaMnSe6 after structural relaxation at the PBE level of DFT.

## Properties
ΔE_f (raw) = -974 meV/atom
Mass density = 5.85 g/cm³
D(E_F) = 0.25 states/eV per atom
Spin magnetization = 3.01 μB per formula unit
Volume = 241 Å³ per cell
Electronic total energy = -6.09 eV/atom

abc: 6.7037 6.7037 6.1893
angles: 90.00 90.00 120.00
Closest atoms and distances in Å follow each position.
Positions (direct):
Y (0.0000, 0.0000, 0.0000)  6 Se 2.83
Pa (0.6667, 0.3333, 0.5000)  6 Se 2.79
Mn (0.3333, 0.6667, 0.0000)  6 Se 2.53
Se (0.0236, 0.3687, 0.2418)  1 Mn 2.53, 1 Pa 2.79, 1 Y 2.83
Se (0.0236, 0.6548, 0.7582)  1 Mn 2.53, 1 Pa 2.79, 1 Y 2.83
Se (0.3452, 0.3687, 0.7582)  1 Mn 2.53, 1 Pa 2.79, 1 Y 2.83
Se (0.3452, 0.9764, 0.2418)  1 Mn 2.53, 1 Pa 2.79, 1 Y 2.83
Se (0.6313, 0.6548, 0.2418)  1 Mn 2.53, 1 Pa 2.79, 1 Y 2.83
Se (0.6313, 0.9764, 0.7582)  1 Mn 2.53, 1 Pa 2.79, 1 Y 2.83


Computed, not measured: ZrPaMnSe6 after structural relaxation at the PBE level of DFT.

## Properties
ΔE_f (raw) = -917 meV/atom
Mass density = 5.98 g/cm³
D(E_F) = 0.54 states/eV per atom
Spin magnetization = 4.00 μB per formula unit
Volume = 236 Å³ per cell
Electronic total energy = -6.26 eV/atom

abc: 6.5870 6.5870 6.2922
angles: 90.00 90.00 120.00
Closest atoms and distances in Å follow each position.
Positions (direct):
Zr (0.0000, 0.0000, 0.0000)  6 Se 2.69
Pa (0.6667, 0.3333, 0.5000)  6 Se 2.79
Mn (0.3333, 0.6667, 0.0000)  6 Se 2.59
Se (0.0150, 0.3454, 0.2385)  1 Mn 2.59, 1 Zr 2.69, 1 Pa 2.79
Se (0.0150, 0.6697, 0.7615)  1 Mn 2.59, 1 Zr 2.69, 1 Pa 2.79
Se (0.3303, 0.3454, 0.7615)  1 Mn 2.59, 1 Zr 2.69, 1 Pa 2.79
Se (0.3303, 0.9850, 0.2385)  1 Mn 2.59, 1 Zr 2.69, 1 Pa 2.79
Se (0.6546, 0.6697, 0.2385)  1 Mn 2.59, 1 Zr 2.69, 1 Pa 2.79
Se (0.6546, 0.9850, 0.7615)  1 Mn 2.59, 1 Zr 2.69, 1 Pa 2.79


Computed, not measured: Pa2MnSi after structural relaxation at the PBE level of DFT.

## Properties
ΔE_f (raw) = -202 meV/atom
Mass density = 12.26 g/cm³
D(E_F) = 1.46 states/eV per atom
Spin magnetization = 0.00 μB per formula unit
Volume = 74 Å³ per cell
Electronic total energy = -8.60 eV/atom

abc: 4.2275 4.2275 4.1306
angles: 90.00 90.00 90.00
Closest atoms and distances in Å follow each position.
Positions (direct):
Pa (0.0000, 0.5000, 0.0000)  4 Mn 2.96, 4 Si 2.96, 4 Pa 2.99
Pa (0.5000, 0.0000, 0.0000)  4 Mn 2.96, 4 Si 2.96, 4 Pa 2.99
Mn (0.0000, 0.0000, 0.5000)  8 Pa 2.96, 4 Si 2.99
Si (0.5000, 0.5000, 0.5000)  8 Pa 2.96, 4 Mn 2.99


Computed, not measured: Pa2MnSi3 after structural relaxation at the PBE level of DFT.

## Properties
ΔE_f (raw) = -564 meV/atom
Mass density = 9.14 g/cm³
D(E_F) = 1.03 states/eV per atom
Spin magnetization = 0.00 μB per formula unit
Volume = 219 Å³ per cell
Electronic total energy = -7.97 eV/atom

abc: 7.9950 7.9209 5.6338
angles: 69.98 68.57 41.46
Closest atoms and distances in Å follow each position.
Positions (direct):
Pa (0.2373, 0.7627, 0.7627)  2 Mn 2.91, 10 Si 3.00-3.12
Pa (0.2500, 0.2500, 0.2500)  8 Si 3.00-3.02, 4 Mn 3.06
Pa (0.7500, 0.7500, 0.7500)  8 Si 3.00-3.02, 4 Mn 3.06
Pa (0.7627, 0.2373, 0.2373)  2 Mn 2.91, 10 Si 3.00-3.12
Mn (0.1627, 0.1627, 0.8373)  3 Si 2.30-2.31
Mn (0.8373, 0.8373, 0.1627)  3 Si 2.30-2.31
Si (0.1668, 0.6629, 0.3371)  1 Mn 2.31, 2 Si 2.33-2.35
Si (0.3294, 0.3294, 0.6706)  1 Mn 2.30, 2 Si 2.33
Si (0.3371, 0.8332, 0.1668)  1 Mn 2.31, 2 Si 2.33-2.35
Si (0.6629, 0.1668, 0.8332)  1 Mn 2.31, 2 Si 2.33-2.35
Si (0.6706, 0.6706, 0.3294)  1 Mn 2.30, 2 Si 2.33
Si (0.8332, 0.3371, 0.6629)  1 Mn 2.31, 2 Si 2.33-2.35


Computed, not measured: PaMn2Si after structural relaxation at the PBE level of DFT.

## Properties
ΔE_f (raw) = -331 meV/atom
Mass density = 9.41 g/cm³
D(E_F) = 1.02 states/eV per atom
Spin magnetization = 0.00 μB per formula unit
Volume = 65 Å³ per cell
Electronic total energy = -8.65 eV/atom

abc: 4.2574 4.2574 4.8189
angles: 116.12 116.12 59.99
Closest atoms and distances in Å follow each position.
Positions (direct):
Pa (0.0000, 0.0000, 0.0000)  2 Mn 2.28
Mn (0.1833, 0.1833, 0.5493)  1 Pa 2.28, 3 Si 2.46-2.47, 3 Mn 2.49-2.50
Mn (0.8167, 0.8167, 0.4507)  1 Pa 2.28, 3 Si 2.46-2.47, 3 Mn 2.49-2.50
Si (0.5000, 0.5000, 0.5000)  6 Mn 2.46-2.47


Computed, not measured: PaMn2Si after structural relaxation at the PBE level of DFT.

## Properties
ΔE_f (raw) = -180 meV/atom
Mass density = 10.37 g/cm³
D(E_F) = 1.40 states/eV per atom
Spin magnetization = 0.46 μB per formula unit
Volume = 59 Å³ per cell
Electronic total energy = -8.49 eV/atom

abc: 4.3717 4.3717 4.3717
angles: 60.00 60.00 60.00
Closest atoms and distances in Å follow each position.
Positions (direct):
Pa (0.0000, 0.0000, 0.0000)  8 Mn 2.68
Mn (0.2500, 0.2500, 0.2500)  4 Pa 2.68, 4 Si 2.68
Mn (0.7500, 0.7500, 0.7500)  4 Pa 2.68, 4 Si 2.68
Si (0.5000, 0.5000, 0.5000)  8 Mn 2.68